An optimized crystal structure of Ca2HfZr, computed with PBE.

Values from the calculation:
ΔE_f: 0.68 eV per atom
energy: -19.79 eV for the cell shown

a b c (Å): 5.440 5.440 5.440
angles (deg): 60.00 60.00 60.00
Positions (direct):
Ca 0.250 0.250 0.250
Ca 0.750 0.750 0.750
Hf 0.000 0.000 0.000
Zr 0.500 0.500 0.500